1.
The following is a DFT calculation (PBE) of a geometry-optimized KCa3F structure.

Calculated values
- E above lowest polymorph (eV/f.u.) = 6.26
- energy (eV/atom) = -1.339
- E_form (uncorrected) (eV/atom) = 0.4554

abc: 6.979 6.979 6.979
angles: 90.00 90.00 90.00
Element x y z (fractional)
Ca (0.000, 0.000, 0.500)
Ca (0.500, 0.000, 0.000)
Ca (0.000, 0.500, 0.000)
K (0.000, 0.000, 0.000)
F (0.500, 0.500, 0.500)

2.
The following is a DFT calculation (PBE) of a geometry-optimized Li6AsAu12 structure.

Calculated values
- energy (eV/atom) = -3.258
- calculated formation energy (meV/atom) = -339.0

abc: 6.841 6.841 6.841
angles: 89.90 89.90 89.90
Element x y z (fractional)
Li (0.727, 0.114, 0.272)
Li (0.728, 0.273, 0.886)
Li (0.114, 0.272, 0.727)
Li (0.886, 0.728, 0.273)
Li (0.273, 0.886, 0.728)
Li (0.272, 0.727, 0.114)
As (0.000, 0.000, 0.000)
Au (0.470, 0.197, 0.563)
Au (0.158, 0.018, 0.370)
Au (0.437, 0.530, 0.803)
Au (0.982, 0.630, 0.842)
Au (0.018, 0.370, 0.158)
Au (0.803, 0.437, 0.530)
Au (0.530, 0.803, 0.437)
Au (0.370, 0.158, 0.018)
Au (0.842, 0.982, 0.630)
Au (0.630, 0.842, 0.982)
Au (0.197, 0.563, 0.470)
Au (0.563, 0.470, 0.197)

3.
The following is a DFT calculation (PBE) of a geometry-optimized CeNdGa2 structure.

Calculated values
- energy (eV/atom) = -4.695
- calculated formation energy (meV/atom) = -505.7

abc: 3.440 3.440 8.205
angles: 90.00 90.00 90.00
Element x y z (fractional)
Ga (0.000, 0.000, 0.753)
Ga (0.000, 0.000, 0.247)
Nd (0.500, 0.500, 0.500)
Ce (0.500, 0.500, 0.000)

4.
The following is a DFT calculation (PBE) of a geometry-optimized YScPt structure.

Calculated values
- E above lowest polymorph (eV/f.u.) = 0.54
- energy (eV/atom) = -7.071
- calculated formation energy (meV/atom) = -792.0

abc: 6.394 6.394 3.435
angles: 74.41 74.42 31.16
Element x y z (fractional)
Y (0.643, 0.643, 0.357)
Sc (0.370, 0.370, 0.630)
Pt (0.987, 0.987, 0.013)